(1)
## Si2MoP (PBE)

Data for a geometry-optimized Si2MoP structure.

a b c (Å): 3.172 3.365 5.744
angles (deg): 66.60 90.00 90.00
Atoms (fractional coordinates):
Si: 0.000 0.934 0.004
Mo: 0.500 0.250 0.250
P: 0.500 0.750 0.750
Si: 0.000 0.566 0.496

Calculated values
As for the total moment: 0.000 μB per formula unit. The calculation puts the density of states at the Fermi level at 1.574 states/eV/f.u. For the formation energy (no corrections), the calculation gives 0.02 eV per atom. For the mass density, the calculation gives 5.40 Mg/m³.

---

(2)
## HgW (PBE)

Data for a geometry-optimized HgW structure.

a b c (Å): 3.237 3.237 7.459
angles (deg): 90.00 90.00 90.00
Atoms (fractional coordinates):
Hg: 0.000 0.000 0.981
W: 0.500 0.500 0.710
Hg: 0.500 0.500 0.269
W: 0.000 0.000 0.540

Calculated values
As for the total moment: 0.000 μB per formula unit. The calculation puts the energy of formation at 0.64 eV per atom. The calculation puts the density of states at the Fermi level at 1.583 states/eV/f.u. For the energy above the most stable polymorph in this dataset, the calculation gives 133.2 meV/atom. For the mass density, the calculation gives 16.33 Mg/m³.

---

(3)
## LiReTc2 (PBE)

Data for a geometry-optimized LiReTc2 structure.

a b c (Å): 4.288 4.288 4.288
angles (deg): 60.00 60.00 60.00
Atoms (fractional coordinates):
Tc: 0.750 0.750 0.750
Li: 0.000 0.000 0.000
Tc: 0.250 0.250 0.250
Re: 0.500 0.500 0.500

Calculated values
As for the total moment: 0.000 μB per formula unit. The calculation puts the energy of formation at 0.13 eV per atom. The calculation puts the density of states at the Fermi level at 4.187 states/eV/f.u. For the energy above the most stable polymorph in this dataset, the calculation gives 0.0 meV/atom. For the mass density, the calculation gives 11.59 Mg/m³.

---

(4)
## NaCdIn2Bi (PBE)

Data for a geometry-optimized NaCdIn2Bi structure.

a b c (Å): 4.728 6.638 10.194
angles (deg): 110.95 90.00 90.00
Atoms (fractional coordinates):
Cd: 0.250 0.147 0.022
Cd: 0.750 0.853 0.978
Na: 0.250 0.893 0.235
Bi: 0.750 0.776 0.423
Na: 0.750 0.107 0.765
In: 0.750 0.461 0.104
Bi: 0.250 0.224 0.577
In: 0.250 0.539 0.896
In: 0.750 0.564 0.654
In: 0.250 0.436 0.346

Calculated values
As for the total moment: 0.000 μB per formula unit. The calculation puts the energy of formation at -0.06 eV per atom. The calculation puts the density of states at the Fermi level at 1.341 states/eV/f.u. For the mass density, the calculation gives 6.38 Mg/m³.

---

(5)
## La4Y5Tm4 (PBE)

Data for a geometry-optimized La4Y5Tm4 structure.

a b c (Å): 5.116 9.517 9.517
angles (deg): 85.86 74.41 74.41
Atoms (fractional coordinates):
La: 0.382 0.696 0.540
Y: 0.689 0.852 0.770
Tm: 0.230 0.617 0.924
Y: 0.311 0.148 0.230
La: 0.922 0.460 0.696
Y: 0.459 0.230 0.852
La: 0.618 0.304 0.460
Tm: 0.154 0.076 0.617
Tm: 0.846 0.924 0.383
Y: 0.541 0.770 0.148
Tm: 0.770 0.383 0.076
Y: 0.000 0.000 0.000
La: 0.078 0.540 0.304

Calculated values
As for the total moment: 0.000 μB per formula unit. The calculation puts the energy of formation at 0.03 eV per atom. The calculation puts the density of states at the Fermi level at 21.445 states/eV/f.u. For the mass density, the calculation gives 6.47 Mg/m³.

---

(6)
## CuHgPb2 (PBE)

Data for a geometry-optimized CuHgPb2 structure.

a b c (Å): 3.385 3.385 8.588
angles (deg): 90.00 90.00 90.15
Atoms (fractional coordinates):
Pb: 0.000 0.000 0.972
Hg: 0.500 0.500 0.697
Cu: 0.000 0.000 0.522
Pb: 0.500 0.500 0.310

Calculated values
As for the total moment: 0.000 μB per formula unit. The calculation puts the energy of formation at 0.14 eV per atom. The calculation puts the density of states at the Fermi level at 1.777 states/eV/f.u. For the mass density, the calculation gives 11.45 Mg/m³.

---

(7)
## AcTbBiAu (PBE)

Data for a geometry-optimized AcTbBiAu structure.

a b c (Å): 5.545 5.545 5.545
angles (deg): 60.00 60.00 60.00
Site moments in Bohr magnetons follow the coordinates.
Atoms (fractional coordinates):
Bi: 0.750 0.750 0.750  -0.02
Tb: 0.000 0.000 0.000  0.34
Ac: 0.500 0.500 0.500  0.13
Au: 0.250 0.250 0.250  0.03

Calculated values
As for the total moment: 0.936 μB per formula unit. The calculation puts the energy of formation at -0.63 eV per atom. The calculation puts the density of states at the Fermi level at 4.144 states/eV/f.u. For the mass density, the calculation gives 10.91 Mg/m³.

---

(8)
## K3Cu2PbCl9 (PBE)

Data for a geometry-optimized K3Cu2PbCl9 structure.

a b c (Å): 7.145 7.145 9.048
angles (deg): 90.00 90.00 120.00
Site moments in Bohr magnetons follow the coordinates.
Atoms (fractional coordinates):
Cl: 0.825 0.175 0.689  0.02
Cl: 0.175 0.825 0.311  0.02
Cl: 0.500 0.000 0.000  0.04
K: 0.333 0.667 0.711  0.00
Cu: 0.667 0.333 0.849  0.20
Cl: 0.175 0.350 0.311  0.02
Cl: 0.350 0.175 0.689  0.02
Cl: 0.000 0.500 0.000  0.04
Cl: 0.500 0.500 0.000  0.04
Cl: 0.825 0.650 0.689  0.02
K: 0.000 0.000 0.000  0.00
K: 0.667 0.333 0.289  0.00
Pb: 0.000 0.000 0.500  0.01
Cu: 0.333 0.667 0.151  0.20
Cl: 0.650 0.825 0.311  0.02

Calculated values
As for the total moment: 0.713 μB per formula unit. The calculation puts the density of states at the Fermi level at 6.139 states/eV/f.u. For the formation energy (no corrections), the calculation gives -1.18 eV per atom. For the mass density, the calculation gives 3.20 Mg/m³.

---

- total moment of number 8 (K3Cu2PbCl9)?
  0.713 μB per formula unit

---

- The lowest mass density belongs to which entry?
  K3Cu2PbCl9

---

- Which value of total moment does entry 4 give?
  0.000 μB per formula unit

---

- Among the records above, which one has the highest mass density?
  HgW